Density functional theory data (PBE) for a geometry-optimized AlAg structure.

Cell and atoms, written as POSCAR:
```
AlAg
1.0
7.234 0.000 0.000
0.000 7.234 0.000
0.000 0.000 7.234
Al Ag
6 6
direct
0.000 0.250 0.500
0.000 0.750 0.500
0.250 0.500 0.000
0.500 0.000 0.250
0.500 0.000 0.750
0.750 0.500 0.000
0.000 0.500 0.250
0.000 0.500 0.750
0.250 0.000 0.500
0.500 0.250 0.000
0.500 0.750 0.000
0.750 0.000 0.500
```

Calculated values
Its calculated volume is 378.5 Å³ per cell. The crystal system is cubic. As for the symmetry: Pm-3n, No. 223. The formation enthalpy at 0 K comes out at 0.5920 eV per atom.

=====

Density functional theory data (PBE) for a geometry-optimized Al5Ag4 structure.

Cell and atoms, written as POSCAR:
```
Al5Ag4
1.0
7.928 0.000 0.000
-3.964 6.865 0.000
0.000 0.000 5.760
Al Ag
10 8
direct
0.000 0.328 0.250
0.000 0.672 0.750
0.328 0.000 0.250
0.328 0.328 0.750
0.333 0.667 0.000
0.333 0.667 0.500
0.667 0.333 0.000
0.667 0.333 0.500
0.672 0.000 0.750
0.672 0.672 0.250
0.000 0.000 0.000
0.000 0.000 0.500
0.000 0.340 0.750
0.000 0.660 0.250
0.340 0.000 0.750
0.340 0.340 0.250
0.660 0.000 0.250
0.660 0.660 0.750
```

Calculated values
Its calculated volume is 313.5 Å³ per cell. As for the offset from the most stable computed form: 0.106 eV/atom. The crystal system is hexagonal. As for the symmetry: P6_3/mcm, No. 193. The formation enthalpy at 0 K comes out at 0.0758 eV per atom.

=====

Density functional theory data (PBE) for a geometry-optimized Al2Ag3 structure.

Cell and atoms, written as POSCAR:
```
Al2Ag3
1.0
4.434 0.000 0.000
-2.217 3.840 0.000
0.000 0.000 5.407
Al Ag
2 3
direct
0.333 0.667 0.345
0.667 0.333 0.655
0.000 0.000 0.500
0.333 0.667 0.854
0.667 0.333 0.146
```

Calculated values
Its calculated volume is 92.0 Å³ per cell. As for the offset from the most stable computed form: 0.033 eV/atom. The crystal system is trigonal. As for the symmetry: P-3m1, No. 164. The formation enthalpy at 0 K comes out at -0.0111 eV per atom.